(1)
The following is a PBE-GGA calculation of a geometry-optimized NaTbBeS3 structure, from OQMD.

Cell: 6.707 6.707 10.544 Å, 90.00 90.00 147.05°
Fractional positions:
1 Na 0.248 0.752 0.750
2 Na 0.752 0.248 0.250
3 Tb 0.000 0.000 0.000
4 Tb 0.000 0.000 0.500
5 Be 0.464 0.536 0.250
6 Be 0.536 0.464 0.750
7 S 0.065 0.935 0.250
8 S 0.370 0.630 0.089
9 S 0.370 0.630 0.411
10 S 0.630 0.370 0.589
11 S 0.630 0.370 0.911
12 S 0.935 0.065 0.750

Raw total energy: -62.1 eV/cell
Density: 3.7 g cm⁻³
Magnetization: 0.003 μB per atom

---

(2)
The following is a PBE-GGA calculation of a geometry-optimized NaTmBeS3 structure, from OQMD.

Cell: 6.715 6.715 10.334 Å, 90.00 90.00 147.56°
Fractional positions:
1 Na 0.248 0.752 0.750
2 Na 0.752 0.248 0.250
3 Tm 0.000 0.000 0.000
4 Tm 0.000 0.000 0.500
5 Be 0.464 0.536 0.250
6 Be 0.536 0.464 0.750
7 S 0.065 0.935 0.250
8 S 0.371 0.629 0.085
9 S 0.371 0.629 0.415
10 S 0.629 0.371 0.585
11 S 0.629 0.371 0.915
12 S 0.935 0.065 0.750

Raw total energy: -62.0 eV/cell
Density: 3.9 g cm⁻³
Magnetization: 0.002 μB per atom